(1)
Material: CdW2Au2
Method: DFT, PBE-GGA
State: optimized geometry

a b c (Å): 3.6496 3.6496 14.4434
angles (deg): 90.00 90.00 90.00
Space group I4/mmm (No. 139)
Asymmetric unit:
Cd1 0.0000 0.0000 0.0000
W1 0.0000 0.5000 0.2500
Au1 0.0000 0.0000 0.4023

Output
Formation energy from the elements, eV per atom: 0.4916

***

(2)
Material: CdW2Au
Method: DFT, PBE-GGA
State: optimized geometry

a b c (Å): 3.9066 3.9066 9.0023
angles (deg): 90.00 90.00 90.00
Space group I4/mmm (No. 139)
Asymmetric unit:
Cd1 0.0000 0.0000 0.0000
W1 0.0000 0.5000 0.2500
Au1 0.0000 0.0000 0.5000

Output
Formation energy from the elements, eV per atom: 0.5158

***

| no. | polymorph energy (0 for the lowest one) (kJ/mol of formula units) | Fermi-level density of states (states/eV/atom) | total moment (μB per atom) |
| --- | --- | --- | --- |
| 1 | 0 | 0.5264 | 0.00 |
| 2 | 91 | 0.4709 | 0.00 |